(1)
The following is a meta-GGA SCAN calculation of ScNb2CuAg at its PBEsol-relaxed geometry, from the Alexandria database.

a b c (Å): 4.6439 4.6439 4.7321
angles (deg): 90.00 90.00 90.00
Element x y z (fractional)
Sc: 0.0000 0.0000 0.0000
Nb: 0.0000 0.5000 0.5000
Nb: 0.5000 0.0000 0.5000
Cu: 0.0000 0.0000 0.5000
Ag: 0.5000 0.5000 0.0000

- electronic total energy (eV per atom) = -24.5538
- size of the total moment (μB/cell) = 0.00

---

(2)
The following is a meta-GGA SCAN calculation of LaOsSe2 at its PBEsol-relaxed geometry, from the Alexandria database.

a b c (Å): 4.6855 4.6855 4.0142
angles (deg): 90.00 90.00 102.10
Element x y z (fractional)
La: 0.0000 0.0000 0.0000
Os: 0.5000 0.5000 0.0000
Se: 0.3019 0.6981 0.5000
Se: 0.6981 0.3019 0.5000

- energy above the most stable polymorph in this dataset (meV/atom) = 75
- size of the total moment (μB/cell) = 0.00

---

(3)
The following is a meta-GGA SCAN calculation of Ba9Nb10O30 at its PBEsol-relaxed geometry, from the Alexandria database.

a b c (Å): 9.1424 9.1486 9.1496
angles (deg): 90.03 101.54 113.59
Element x y z (fractional)
Ba: 0.0000 0.0000 0.0000
Ba: 0.0001 0.3990 0.1999
Ba: 0.9999 0.6010 0.8001
Ba: 0.0061 0.8019 0.4017
Ba: 0.4993 0.3946 0.6974
Ba: 0.5001 0.1977 0.1054
Ba: 0.4999 0.8023 0.8946
Ba: 0.5007 0.6054 0.3026
Ba: 0.9939 0.1981 0.5983
Nb: 0.2498 0.4000 0.9497
Nb: 0.2520 0.9997 0.7477
Nb: 0.2524 0.1982 0.3522
Nb: 0.2523 0.6034 0.5490
Nb: 0.2535 0.8028 0.1537
Nb: 0.7465 0.1972 0.8463
Nb: 0.7480 0.0003 0.2523
Nb: 0.7477 0.3966 0.4510
Nb: 0.7476 0.8018 0.6478
Nb: 0.7502 0.6000 0.0503
O: 0.0001 0.1001 0.2998
O: 0.9997 0.2999 0.9000
O: 0.0000 0.5000 0.5000
O: 0.0003 0.7001 0.1000
O: 0.9999 0.8999 0.7002
O: 0.2455 0.1015 0.5511
O: 0.2464 0.0002 0.2464
O: 0.2463 0.6951 0.3473
O: 0.2460 0.7965 0.6524
O: 0.2493 0.3997 0.4499
O: 0.2497 0.1998 0.8504
O: 0.2502 0.3004 0.1501
O: 0.2499 0.4996 0.7499
O: 0.2503 0.6004 0.0495
O: 0.2501 0.9002 0.9502
O: 0.4997 0.1014 0.8051
O: 0.5000 0.3058 0.3991
O: 0.5000 0.5000 0.0000
O: 0.5000 0.6942 0.6009
O: 0.5003 0.8986 0.1949
O: 0.7499 0.0998 0.0498
O: 0.7497 0.3996 0.9505
O: 0.7501 0.5004 0.2501
O: 0.7498 0.6996 0.8499
O: 0.7503 0.8002 0.1496
O: 0.7507 0.6003 0.5501
O: 0.7536 0.9998 0.7536
O: 0.7540 0.2035 0.3476
O: 0.7537 0.3049 0.6527
O: 0.7545 0.8985 0.4489

- electronic total energy (eV per atom) = -20.8556
- size of the total moment (μB/cell) = 0.00